## ScCd2O (PBE)

Data for a relaxed ScCd2O crystal.

ΔE_f (raw), eV per atom: -0.841

Geometry as POSCAR:
```
ScCd2O
1.0
-8.4772 -4.5040 -0.9349
3.1428 -7.1021 5.7189
-3.3534 -4.8385 3.9670
Sc Cd O
2 4 2
Direct
0.0000 0.0000 0.0000
0.7500 0.2500 0.5000
0.3750 0.4850 0.7500
0.2350 0.6250 0.2500
0.8750 0.7650 0.7500
0.5150 0.1250 0.2500
0.5000 0.5000 0.0000
0.2500 0.7500 0.5000
```

---

## CaFeMo2 (PBE)

Data for a relaxed CaFeMo2 crystal.

Offset from the most stable computed form, meV/atom: 232
Energy relative to the elements, eV per atom: 0.751

Geometry as POSCAR:
```
CaFeMo2
1.0
-9.0670 -2.0561 2.4094
-7.7106 -3.7050 4.3662
-8.1982 -0.9045 4.9208
Fe Ca Mo
1 1 2
Direct
0.7500 0.7500 0.7500
0.2500 0.2500 0.2500
0.4871 0.4871 0.4871
0.0129 0.0129 0.0129
```

---

V (A^3/atom)
22.9; 17.2